Here is a geometry-optimized SmYSe2 structure from Alexandria via LeMat-Bulk. Energies are from PBE-GGA.

## Properties
E_form (uncorrected)   -1.7729 eV/atom
Magnetization   0.00 μB/cell
Distance to the lowest polymorph of the same formula   11 kJ/mol of formula units
Electronic total energy   -25.24 eV per formula unit

Cell lengths 4.052, 4.052, 14.082 Å; angles 90.00, 90.00, 120.00 degrees
Fractional coordinates of all 8 atoms:
Sm 0.000 0.000 0.000
Sm 0.000 0.000 0.500
Y 0.333 0.667 0.250
Y 0.667 0.333 0.750
Se 0.333 0.667 0.626
Se 0.333 0.667 0.874
Se 0.667 0.333 0.126
Se 0.667 0.333 0.374

Here is a geometry-optimized Sm2YSe4 structure from Alexandria via LeMat-Bulk. Energies are from PBE-GGA.

## Properties
E_form (uncorrected)   -1.8343 eV/atom
Magnetization   0.00 μB/cell
Distance to the lowest polymorph of the same formula   29 kJ/mol of formula units
Electronic total energy   -42.68 eV per formula unit

Cell lengths 7.169, 7.169, 13.996 Å; angles 90.00, 90.00, 147.52 degrees
Fractional coordinates of all 14 atoms:
Sm 0.130 0.870 0.571
Sm 0.130 0.870 0.929
Sm 0.870 0.130 0.071
Sm 0.870 0.130 0.429
Y 0.373 0.627 0.750
Y 0.627 0.373 0.250
Se 0.024 0.976 0.750
Se 0.221 0.779 0.124
Se 0.221 0.779 0.376
Se 0.500 0.500 0.000
Se 0.500 0.500 0.500
Se 0.779 0.221 0.624
Se 0.779 0.221 0.876
Se 0.976 0.024 0.250

Here is a geometry-optimized Sm2YSe3 structure from Alexandria via LeMat-Bulk. Energies are from PBE-GGA.

## Properties
E_form (uncorrected)   -1.7981 eV/atom
Magnetization   0.00 μB/cell
Electronic total energy   -37.14 eV per formula unit

Cell lengths 7.174, 7.174, 7.174 Å; angles 146.32, 131.88, 60.02 degrees
Fractional coordinates of all 6 atoms:
Sm 0.170 0.170 0.000
Sm 0.830 0.830 0.000
Y 0.500 0.500 0.000
Se 0.000 0.500 0.500
Se 0.338 0.838 0.500
Se 0.662 0.162 0.500

Here is a geometry-optimized Sm3Y2Se8 structure from Alexandria via LeMat-Bulk. Energies are from PBE-GGA.

## Properties
E_form (uncorrected)   -1.6895 eV/atom
Magnetization   0.00 μB/cell
Electronic total energy   -76.93 eV per formula unit

Cell lengths 8.338, 8.338, 7.094 Å; angles 107.02, 107.02, 60.03 degrees
Fractional coordinates of all 13 atoms:
Sm 0.000 0.000 0.000
Sm 0.262 0.738 0.500
Sm 0.738 0.262 0.500
Y 0.258 0.258 0.840
Y 0.742 0.742 0.160
Se 0.113 0.635 0.084
Se 0.121 0.121 0.428
Se 0.365 0.887 0.916
Se 0.380 0.380 0.600
Se 0.620 0.620 0.400
Se 0.635 0.113 0.084
Se 0.879 0.879 0.572
Se 0.887 0.365 0.916

Here is a geometry-optimized Sm2YSe4 structure from Alexandria via LeMat-Bulk. Energies are from PBE-GGA.

## Properties
E_form (uncorrected)   -1.8775 eV/atom
Magnetization   0.00 μB/cell
Distance to the lowest polymorph of the same formula   0 kJ/mol of formula units
Electronic total energy   -42.98 eV per formula unit

Cell lengths 8.222, 8.222, 8.222 Å; angles 119.53, 119.27, 91.04 degrees
Fractional coordinates of all 14 atoms:
Sm 0.000 0.000 0.000
Sm 0.500 0.000 0.000
Sm 0.500 0.000 0.500
Sm 0.500 0.500 0.500
Y 0.000 0.000 0.500
Y 0.000 0.500 0.000
Se 0.239 0.743 0.496
Se 0.248 0.247 0.499
Se 0.248 0.749 0.001
Se 0.252 0.257 0.996
Se 0.748 0.743 0.004
Se 0.752 0.251 0.999
Se 0.752 0.753 0.501
Se 0.761 0.257 0.504

Here is a geometry-optimized SmY3Se4 structure from Alexandria via LeMat-Bulk. Energies are from PBE-GGA.

## Properties
E_form (uncorrected)   -1.7803 eV/atom
Magnetization   0.00 μB/cell
Distance to the lowest polymorph of the same formula   0 kJ/mol of formula units
Electronic total energy   -52.29 eV per formula unit

Cell lengths 7.151, 8.147, 7.133 Å; angles 90.00, 109.31, 90.00 degrees
Fractional coordinates of all 16 atoms:
Sm 0.000 0.124 0.250
Sm 0.000 0.876 0.750
Y 0.000 0.373 0.750
Y 0.000 0.627 0.250
Y 0.500 0.124 0.750
Y 0.500 0.374 0.250
Y 0.500 0.626 0.750
Y 0.500 0.876 0.250
Se 0.252 0.378 0.503
Se 0.252 0.622 0.003
Se 0.256 0.128 0.000
Se 0.256 0.872 0.500
Se 0.744 0.128 0.500
Se 0.744 0.872 0.000
Se 0.748 0.378 0.997
Se 0.748 0.622 0.497

Here is a geometry-optimized Sm2YSe structure from Alexandria via LeMat-Bulk. Energies are from PBE-GGA.

## Properties
E_form (uncorrected)   -0.8096 eV/atom
Magnetization   0.65 μB/cell
Distance to the lowest polymorph of the same formula   0 kJ/mol of formula units
Electronic total energy   -22.63 eV per formula unit

Cell lengths 9.809, 9.809, 9.809 Å; angles 22.81, 22.81, 22.81 degrees
Fractional coordinates of all 4 atoms:
Sm 0.000 0.000 0.000
Sm 0.203 0.203 0.203
Y 0.768 0.768 0.768
Se 0.601 0.601 0.601

Here is a geometry-optimized SmY4Se5 structure from Alexandria via LeMat-Bulk. Energies are from PBE-GGA.

## Properties
E_form (uncorrected)   -1.7731 eV/atom
Magnetization   0.00 μB/cell
Distance to the lowest polymorph of the same formula   11 kJ/mol of formula units
Electronic total energy   -65.73 eV per formula unit

Cell lengths 14.849, 14.849, 14.849 Å; angles 164.14, 164.14, 22.51 degrees
Fractional coordinates of all 10 atoms:
Sm 0.000 0.000 0.000
Y 0.204 0.204 0.000
Y 0.402 0.402 0.000
Y 0.598 0.598 0.000
Y 0.796 0.796 0.000
Se 0.103 0.103 0.000
Se 0.302 0.302 0.000
Se 0.500 0.500 0.000
Se 0.698 0.698 0.000
Se 0.897 0.897 0.000

Here is a geometry-optimized SmYSe2 structure from Alexandria via LeMat-Bulk. Energies are from PBE-GGA.

## Properties
E_form (uncorrected)   -1.7707 eV/atom
Magnetization   0.00 μB/cell
Distance to the lowest polymorph of the same formula   11 kJ/mol of formula units
Electronic total energy   -25.24 eV per formula unit

Cell lengths 7.575, 7.575, 7.575 Å; angles 30.76, 30.76, 30.76 degrees
Fractional coordinates of all 4 atoms:
Sm 0.000 0.000 0.000
Y 0.177 0.177 0.177
Se 0.423 0.423 0.423
Se 0.588 0.588 0.588

Here is a geometry-optimized SmY4Se7 structure from Alexandria via LeMat-Bulk. Energies are from PBE-GGA.

## Properties
E_form (uncorrected)   -1.8674 eV/atom
Magnetization   0.00 μB/cell
Electronic total energy   -77.38 eV per formula unit

Cell lengths 7.035, 7.035, 12.260 Å; angles 103.70, 103.70, 32.93 degrees
Fractional coordinates of all 12 atoms:
Sm 0.000 0.000 0.000
Y 0.114 0.114 0.423
Y 0.226 0.226 0.842
Y 0.413 0.413 0.608
Y 0.813 0.813 0.236
Se 0.072 0.072 0.637
Se 0.155 0.155 0.209
Se 0.368 0.368 0.071
Se 0.454 0.454 0.372
Se 0.615 0.615 0.919
Se 0.773 0.773 0.472
Se 0.853 0.853 0.771

Here is a geometry-optimized SmY2Se structure from Alexandria via LeMat-Bulk. Energies are from PBE-GGA.

## Properties
E_form (uncorrected)   -0.8288 eV/atom
Magnetization   0.57 μB/cell
Distance to the lowest polymorph of the same formula   0 kJ/mol of formula units
Electronic total energy   -24.45 eV per formula unit

Cell lengths 9.744, 9.744, 9.744 Å; angles 22.57, 22.57, 22.57 degrees
Fractional coordinates of all 4 atoms:
Sm 0.000 0.000 0.000
Y 0.565 0.565 0.565
Y 0.769 0.769 0.769
Se 0.167 0.167 0.167

Here is a geometry-optimized SmY3Se6 structure from Alexandria via LeMat-Bulk. Energies are from PBE-GGA.

## Properties
E_form (uncorrected)   -1.8897 eV/atom
Magnetization   0.00 μB/cell
Distance to the lowest polymorph of the same formula   0 kJ/mol of formula units
Electronic total energy   -63.92 eV per formula unit

Cell lengths 11.614, 4.129, 11.904 Å; angles 90.00, 109.08, 90.00 degrees
Fractional coordinates of all 20 atoms:
Sm 0.045 0.250 0.194
Sm 0.955 0.750 0.806
Y 0.159 0.250 0.584
Y 0.318 0.750 0.999
Y 0.435 0.250 0.333
Y 0.565 0.750 0.667
Y 0.682 0.250 0.001
Y 0.841 0.750 0.416
Se 0.083 0.750 0.403
Se 0.114 0.250 0.965
Se 0.194 0.750 0.750
Se 0.256 0.750 0.224
Se 0.395 0.250 0.561
Se 0.480 0.250 0.115
Se 0.520 0.750 0.885
Se 0.605 0.750 0.439
Se 0.744 0.250 0.776
Se 0.806 0.250 0.250
Se 0.886 0.750 0.035
Se 0.917 0.250 0.597